1.
! Sb3RuN (SCAN, PBEsol geometry); values from VASP
! M_tot	0.00	μB per formula unit
! electronic total energy	-30.2432	eV per atom
! formation energy without anion corrections	0.937	eV per atom
&SYSTEM
  ibrav = 0, nat = 5, ntyp = 3
/
ATOMIC_SPECIES
Sb 121.76 Sb.upf
N 14.01 N.upf
Ru 101.07 Ru.upf
ATOMIC_POSITIONS crystal
Sb 0.000 0.500 0.000
Sb 0.000 0.000 0.500
Sb 0.500 0.000 0.000
N 0.000 0.000 0.000
Ru 0.500 0.500 0.500
CELL_PARAMETERS angstrom
-4.345 -1.008 -0.679
-0.557 -0.589 4.439
-1.081 4.358 0.442

***

2.
! SbRu3N (SCAN, PBEsol geometry); values from VASP
! M_tot	7.32	μB per formula unit
! electronic total energy	-27.4214	eV per atom
! formation energy without anion corrections	2.785	eV per atom
&SYSTEM
  ibrav = 0, nat = 5, ntyp = 3
/
ATOMIC_SPECIES
Sb 121.76 Sb.upf
N 14.01 N.upf
Ru 101.07 Ru.upf
ATOMIC_POSITIONS crystal
Sb 0.000 0.000 0.000
N 0.500 0.500 0.500
Ru 0.000 0.500 0.000
Ru 0.000 0.000 0.500
Ru 0.500 0.000 0.000
CELL_PARAMETERS angstrom
-4.714 -0.767 0.721
0.885 -4.679 0.808
0.570 0.921 4.707

***

3.
! Sc2RuN (SCAN, PBEsol geometry); values from VASP
! M_tot	0.00	μB per formula unit
! electronic total energy	-18.9756	eV per atom
! formation energy without anion corrections	-0.828	eV per atom
&SYSTEM
  ibrav = 0, nat = 4, ntyp = 3
/
ATOMIC_SPECIES
Sc 44.96 Sc.upf
Ru 101.07 Ru.upf
N 14.01 N.upf
ATOMIC_POSITIONS crystal
Sc 0.891 0.891 0.327
Sc 0.109 0.109 0.673
Ru 0.000 0.000 0.000
N 0.500 0.500 0.500
CELL_PARAMETERS angstrom
-1.149 -1.337 2.517
0.212 -3.045 0.355
6.060 -0.625 4.311

***

4.
! RuSe3N (SCAN, PBEsol geometry); values from VASP
! M_tot	0.00	μB per formula unit
! electronic total energy	-19.6687	eV per atom
! formation energy without anion corrections	1.202	eV per atom
&SYSTEM
  ibrav = 0, nat = 5, ntyp = 3
/
ATOMIC_SPECIES
Ru 101.07 Ru.upf
Se 78.96 Se.upf
N 14.01 N.upf
ATOMIC_POSITIONS crystal
Ru 0.500 0.500 0.500
Se 0.000 0.500 0.000
Se 0.000 0.000 0.500
Se 0.500 0.000 0.000
N 0.000 0.000 0.000
CELL_PARAMETERS angstrom
-0.719 -2.016 -3.633
-2.727 -2.553 1.956
-3.134 2.683 -0.869